[1]
DFT (PBE) results for an optimized crystal structure of RbTa3Se.

The total magnetization comes out at 0.00 μB/cell. The density of states at the Fermi level is 2.574 states/eV per cell. As for the total energy: -4.80 eV/atom. The formation energy (no corrections) comes out at 16.00 eV/f.u.

abc: 4.8466 4.8466 4.8466
angles: 90.00 90.00 90.00
Last column: nearest neighbours and their distance in Å.
Space group Pm-3m (No. 221)
One atom of each set of equivalent atoms:
1 Rb 0.0000 0.0000 0.0000 x1  6 Ta 2.42
2 Ta 0.0000 0.0000 0.5000 x3  2 Rb 2.42
3 Se 0.5000 0.5000 0.5000 x1  12 Ta 3.43



[2]
DFT (PBE) results for an optimized crystal structure of Rb2Ta4Se7.

The total magnetization comes out at 0.00 μB/cell. The density of states at the Fermi level is 7.523 states/eV per cell. As for the total energy: -6.19 eV/atom. The formation energy (no corrections) comes out at -6.70 eV/f.u.

abc: 6.3302 6.3302 9.4344
angles: 90.00 90.00 120.00
Last column: nearest neighbours and their distance in Å.
Space group P-31m (No. 162)
One atom of each set of equivalent atoms:
1 Rb 0.3333 0.6667 0.0000 x2  9 Se 3.50-3.65, 3 Rb 3.65
2 Ta 0.0000 0.0000 0.3611 x2  3 Se 2.51, 1 Ta 2.62
3 Ta 0.3333 0.6667 0.5000 x2  6 Se 2.67
4 Se 0.0000 0.0000 0.0000 x1  2 Ta 3.41, 6 Rb 3.65, 6 Se 3.81
5 Se 0.0000 0.3890 0.3080 x6  3 Ta 2.51-2.67



[3]
DFT (PBE) results for an optimized crystal structure of Rb2TaSe3.

The total magnetization comes out at 4.08 μB/cell. The density of states at the Fermi level is 4.707 states/eV per cell. As for the total energy: -4.98 eV/atom. The formation energy (no corrections) comes out at -5.61 eV/f.u.

abc: 13.7447 4.3010 14.4967
angles: 90.00 90.00 90.00
Last column: nearest neighbours and their distance in Å.
Space group Pnma (No. 62)
One atom of each set of equivalent atoms:
1 Rb 0.0192 0.2500 0.1667 x4  7 Se 3.56-3.67
2 Rb 0.1607 0.2500 0.5412 x4  7 Se 3.55-3.66
3 Ta 0.2449 0.7500 0.3194 x4  4 Se 2.40-2.57
4 Se 0.0744 0.7500 0.3570 x4  1 Ta 2.41
5 Se 0.1466 0.2500 0.9493 x4  1 Ta 2.40
6 Se 0.2216 0.7500 0.7277 x4  2 Ta 2.57



[4]
DFT (PBE) results for an optimized crystal structure of Rb3TaSe.

The total magnetization comes out at 4.00 μB/cell. The density of states at the Fermi level is 6.466 states/eV per cell. As for the total energy: -2.91 eV/atom. The formation energy (no corrections) comes out at 3.71 eV/f.u.

abc: 6.5752 6.5752 6.5752
angles: 90.00 90.00 90.00
Last column: nearest neighbours and their distance in Å.
Space group Pm-3m (No. 221)
One atom of each set of equivalent atoms:
1 Rb 0.0000 0.0000 0.5000 x3  2 Se 3.29
2 Ta 0.5000 0.5000 0.5000 x1  12 Rb 4.65
3 Se 0.0000 0.0000 0.0000 x1  6 Rb 3.29



[5]
DFT (PBE) results for an optimized crystal structure of Rb2TaSe3.

The total magnetization comes out at 0.00 μB/cell. The density of states at the Fermi level is 6.871 states/eV per cell. As for the total energy: -4.72 eV/atom. The formation energy (no corrections) comes out at -4.07 eV/f.u.

abc: 4.5026 5.1379 17.7109
angles: 90.00 90.00 90.00
Last column: nearest neighbours and their distance in Å.
Space group Immm (No. 71)
One atom of each set of equivalent atoms:
1 Rb 0.0000 0.0000 0.1556 x4  7 Se 3.43-3.62
2 Ta 0.0000 0.0000 0.5000 x2  4 Se 2.48-2.57
3 Se 0.0000 0.0000 0.3598 x4  1 Ta 2.48
4 Se 0.0000 0.5000 0.5000 x2  2 Ta 2.57



[6]
DFT (PBE) results for an optimized crystal structure of Rb2Ta2Se.

The total magnetization comes out at 0.00 μB/cell. The density of states at the Fermi level is 9.661 states/eV per cell. As for the total energy: -5.31 eV/atom. The formation energy (no corrections) comes out at 2.59 eV/f.u.

abc: 3.7227 3.7227 23.9264
angles: 90.00 90.00 90.00
Last column: nearest neighbours and their distance in Å.
Space group I4/mmm (No. 139)
One atom of each set of equivalent atoms:
1 Rb 0.0000 0.0000 0.0910 x4  4 Se 3.42, 4 Rb 3.72
2 Ta 0.0000 0.5000 0.2500 x4  4 Ta 2.63
3 Se 0.0000 0.0000 0.5000 x2  8 Rb 3.42, 4 Se 3.72



[7]
DFT (PBE) results for an optimized crystal structure of RbTa3Se.

The total magnetization comes out at 0.00 μB/cell. The density of states at the Fermi level is 5.903 states/eV per cell. As for the total energy: -6.54 eV/atom. The formation energy (no corrections) comes out at 7.31 eV/f.u.

abc: 4.9398 4.9398 4.9398
angles: 90.00 90.00 90.00
Last column: nearest neighbours and their distance in Å.
Space group Pm-3m (No. 221)
One atom of each set of equivalent atoms:
1 Rb 0.0000 0.0000 0.0000 x1  12 Ta 3.49
2 Ta 0.0000 0.5000 0.5000 x3  2 Se 2.47
3 Se 0.5000 0.5000 0.5000 x1  6 Ta 2.47



[8]
DFT (PBE) results for an optimized crystal structure of Rb2TaSe6.

The total magnetization comes out at 0.00 μB/cell. The density of states at the Fermi level is 8.772 states/eV per cell. As for the total energy: -4.45 eV/atom. The formation energy (no corrections) comes out at -5.37 eV/f.u.

abc: 14.3904 8.7146 4.6600
angles: 90.00 92.21 90.00
Last column: nearest neighbours and their distance in Å.
Space group C2/m (No. 12)
One atom of each set of equivalent atoms:
1 Rb 0.1874 0.0000 0.4242 x4  8 Se 3.56-3.87
2 Ta 0.0000 0.5000 0.0000 x2  8 Se 2.61-2.84
3 Se 0.0000 0.3144 0.5000 x4  2 Se 2.60, 2 Ta 2.84
4 Se 0.1290 0.2983 0.9064 x8  1 Se 2.60, 1 Ta 2.61